No. 1
The following is a DFT calculation (PBEsol) of TcNi2W after structural relaxation.

Cell lengths 2.5768, 3.7201, 5.2737 Å; angles 90.00, 90.00, 90.00 degrees
Last column: nearest neighbours and their distance in Å.
Element x y z (fractional)
Ni1 0.5000 0.5000 0.2409  2 W 2.50-2.77, 6 Ni 2.56-2.58, 4 Tc 2.59
Ni2 0.0000 0.0000 0.0121  1 Tc 2.47, 6 Ni 2.56-2.58, 4 W 2.61
W1 0.5000 0.5000 0.7665  6 Ni 2.50-2.77, 2 W 2.58, 4 Tc 2.72
Tc1 0.0000 0.0000 0.4805  5 Ni 2.47-2.59, 2 Tc 2.58, 4 W 2.72

## Properties
Energy of formation from the pure elements: 0.034 eV/atom
Energy above the most stable polymorph in this dataset: 0.329 eV/f.u.


No. 2
The following is a DFT calculation (PBEsol) of InSb2Au after structural relaxation.

Cell lengths 4.2039, 5.0762, 5.0731 Å; angles 109.66, 90.00, 90.00 degrees
Last column: nearest neighbours and their distance in Å.
Element x y z (fractional)
Au1 0.5000 0.0000 0.5000  4 Sb 2.74, 2 In 2.92
Sb1 0.0000 0.2121 0.2881  2 Au 2.74, 2 Sb 2.99
Sb2 0.0000 0.7879 0.7119  2 Au 2.74, 2 Sb 2.99
In1 0.5000 0.5000 0.0000  2 Au 2.92, 4 Sb 3.18

## Properties
Formation energy from raw total energies: -0.06 eV/atom


Values for density, Mg/m³, ordered as above
13.11, 9.04